(1)
First-principles (PBE) data for Ca2Mn2As after structural relaxation, as listed in Alexandria via LeMat-Bulk.

Energy above the lowest structure with this stoichiometry (meV per atom): 366

Unit cell a=7.6336 b=7.6336 c=4.6463 alpha=90.00 beta=90.00 gamma=90.00
Closest atoms and distances in Å follow each position.
Space group P4/mbm (No. 127)
Inequivalent atoms, fractional coordinates:
Ca  0.1654  0.3346  0.0000 (multiplicity 4)  2 As 2.85
Mn  0.1245  0.6245  0.5000 (multiplicity 4)  1 Mn 2.69
As  0.0000  0.0000  0.0000 (multiplicity 2)  4 Ca 2.85

(2)
First-principles (PBE) data for CaMn5As4 after structural relaxation, as listed in Alexandria via LeMat-Bulk.

Unit cell a=9.9171 b=9.9171 c=3.6531 alpha=90.00 beta=90.00 gamma=90.00
Closest atoms and distances in Å follow each position.
Space group P4/nmm (No. 129, origin choice 2)
Inequivalent atoms, fractional coordinates:
Ca  0.2500  0.7500  0.0000 (multiplicity 2)  4 As 2.84
Mn  0.0965  0.0965  0.1342 (multiplicity 8)  4 As 2.55-2.56, 1 Mn 2.71
Mn  0.2500  0.2500  0.5862 (multiplicity 2)  4 As 2.46, 4 Mn 2.71
As  0.0023  0.2500  0.6347 (multiplicity 8)  5 Mn 2.46-2.56

(3)
First-principles (PBE) data for CaMn2As after structural relaxation, as listed in Alexandria via LeMat-Bulk.

Unit cell a=3.3871 b=3.3871 c=6.7727 alpha=90.00 beta=90.00 gamma=90.00
Closest atoms and distances in Å follow each position.
Space group P4/mmm (No. 123)
Inequivalent atoms, fractional coordinates:
Ca  0.0000  0.0000  0.0000 (multiplicity 1)  8 Mn 3.21, 2 As 3.39, 4 Ca 3.39
Mn  0.5000  0.5000  0.3146 (multiplicity 2)  1 Mn 2.51, 4 As 2.70
As  0.0000  0.0000  0.5000 (multiplicity 1)  8 Mn 2.70

(4)
First-principles (PBE) data for CaMn2As after structural relaxation, as listed in Alexandria via LeMat-Bulk.

Unit cell a=4.1633 b=4.1633 c=4.3584 alpha=90.00 beta=90.00 gamma=90.00
Closest atoms and distances in Å follow each position.
Space group P4/mmm (No. 123)
Inequivalent atoms, fractional coordinates:
Ca  0.0000  0.0000  0.0000 (multiplicity 1)  4 As 2.94, 8 Mn 3.01
Mn  0.0000  0.5000  0.5000 (multiplicity 2)  4 Mn 2.94, 4 Ca 3.01, 4 As 3.01
As  0.5000  0.5000  0.0000 (multiplicity 1)  4 Ca 2.94, 8 Mn 3.01

(5)
First-principles (PBE) data for CaMnAs2 after structural relaxation, as listed in Alexandria via LeMat-Bulk.

Unit cell a=3.3818 b=3.3818 c=26.4614 alpha=90.00 beta=90.00 gamma=120.00
Closest atoms and distances in Å follow each position.
Space group R3m (No. 160, hexagonal axes)
Inequivalent atoms, fractional coordinates:
Ca  0.0000  0.0000  0.0000 (multiplicity 3)  3 As 3.02, 3 Mn 3.28
Mn  0.0000  0.0000  0.7662 (multiplicity 3)  3 As 2.38
As  0.0000  0.0000  0.2464 (multiplicity 3)  3 Ca 3.02, 3 As 3.19
As  0.0000  0.0000  0.4844 (multiplicity 3)  3 Mn 2.38

(6)
First-principles (PBE) data for CaMnAs2 after structural relaxation, as listed in Alexandria via LeMat-Bulk.

Unit cell a=4.0091 b=4.0091 c=10.0044 alpha=90.00 beta=90.00 gamma=90.00
Closest atoms and distances in Å follow each position.
Space group I-4m2 (No. 119)
Inequivalent atoms, fractional coordinates:
Ca  0.0000  0.0000  0.0000 (multiplicity 2)  4 As 2.83
Mn  0.0000  0.5000  0.7500 (multiplicity 2)  4 As 2.83
As  0.0000  0.0000  0.5000 (multiplicity 2)  4 Ca 2.83
As  0.0000  0.5000  0.2500 (multiplicity 2)  4 Mn 2.83

(7)
First-principles (PBE) data for CaMn2As after structural relaxation, as listed in Alexandria via LeMat-Bulk.

Unit cell a=3.3221 b=3.3221 c=6.8709 alpha=90.00 beta=90.00 gamma=90.00
Closest atoms and distances in Å follow each position.
Space group P4mm (No. 99)
Inequivalent atoms, fractional coordinates:
Ca  0.0000  0.0000  0.0000 (multiplicity 1)  4 As 3.16, 5 Mn 3.22-3.23, 4 Ca 3.32
Mn  0.0000  0.0000  0.5316 (multiplicity 1)  4 As 2.59, 4 Mn 2.75
Mn  0.5000  0.5000  0.3224 (multiplicity 1)  1 As 2.54, 4 Mn 2.75
As  0.5000  0.5000  0.6918 (multiplicity 1)  5 Mn 2.54-2.59

(8)
First-principles (PBE) data for CaMn2As2 after structural relaxation, as listed in Alexandria via LeMat-Bulk.

Unit cell a=3.9829 b=3.9829 c=7.0182 alpha=90.00 beta=90.00 gamma=120.00
Closest atoms and distances in Å follow each position.
Space group P-3m1 (No. 164)
Inequivalent atoms, fractional coordinates:
Ca  0.0000  0.0000  0.0000 (multiplicity 1)  6 As 2.98
Mn  0.3333  0.6667  0.3852 (multiplicity 2)  4 As 2.41-2.43
As  0.3333  0.6667  0.7289 (multiplicity 2)  4 Mn 2.41-2.43

(9)
First-principles (PBE) data for CaMnAs2 after structural relaxation, as listed in Alexandria via LeMat-Bulk.

Unit cell a=3.3490 b=3.6527 c=13.6426 alpha=90.00 beta=90.00 gamma=90.00
Closest atoms and distances in Å follow each position.
Space group Imm2 (No. 44)
Inequivalent atoms, fractional coordinates:
Ca  0.0000  0.0000  0.0000 (multiplicity 2)  6 As 2.96-3.02
Mn  0.0000  0.5000  0.2531 (multiplicity 2)  6 As 2.48-2.66
As  0.0000  0.0000  0.6188 (multiplicity 2)  2 Mn 2.48
As  0.0000  0.5000  0.8236 (multiplicity 2)  4 Mn 2.66

(10)
First-principles (PBE) data for CaMn2As after structural relaxation, as listed in Alexandria via LeMat-Bulk.

Unit cell a=3.3279 b=4.8092 c=9.7618 alpha=90.00 beta=90.00 gamma=90.00
Closest atoms and distances in Å follow each position.
Space group Immm (No. 71)
Inequivalent atoms, fractional coordinates:
Ca  0.0000  0.0000  0.0000 (multiplicity 2)  4 As 2.92, 4 Mn 3.15
Mn  0.0000  0.5000  0.2081 (multiplicity 4)  2 As 2.63
As  0.0000  0.0000  0.5000 (multiplicity 2)  4 Mn 2.63, 4 Ca 2.92

(11)
First-principles (PBE) data for CaMnAs after structural relaxation, as listed in Alexandria via LeMat-Bulk.

Unit cell a=3.9381 b=3.9381 c=7.4857 alpha=90.00 beta=90.00 gamma=90.00
Closest atoms and distances in Å follow each position.
Space group P4/nmm (No. 129, origin choice 2)
Inequivalent atoms, fractional coordinates:
Ca  0.2500  0.2500  0.1692 (multiplicity 2)  4 As 2.94, 4 Mn 3.16
Mn  0.2500  0.7500  0.5000 (multiplicity 2)  4 As 2.49, 4 Mn 2.78
As  0.2500  0.2500  0.7035 (multiplicity 2)  4 Mn 2.49

(12)
First-principles (PBE) data for CaMnAs2 after structural relaxation, as listed in Alexandria via LeMat-Bulk.

Unit cell a=6.9934 b=6.9934 c=7.0825 alpha=90.00 beta=90.00 gamma=90.00
Closest atoms and distances in Å follow each position.
Space group I-42d (No. 122)
Inequivalent atoms, fractional coordinates:
Ca  0.0000  0.0000  0.0000 (multiplicity 4)  4 As 3.01
Mn  0.0000  0.0000  0.5000 (multiplicity 4)  4 As 2.30
As  0.1733  0.2500  0.6250 (multiplicity 8)  2 Mn 2.30

| no. | energy of formation from the pure elements (kJ/mol of atoms) | final energy (eV/atom) | M_tot (μB/atom) |
| --- | --- | --- | --- |
| 1 | 38.9 | -4.995 | 1.61 |
| 2 | -14.2 | -6.792 | 1.65 |
| 3 | 20.4 | -6.036 | 1.74 |
| 4 | 11.9 | -6.125 | 1.97 |
| 5 | 19.0 | -4.921 | 0.66 |
| 6 | -26.4 | -5.391 | 1.01 |
| 7 | -1.1 | -6.258 | 1.74 |
| 8 | -45.2 | -6.396 | 1.01 |
| 9 | -38.6 | -5.517 | 0.76 |
| 10 | 7.8 | -6.167 | 1.83 |
| 11 | -56.8 | -5.863 | 0.71 |
| 12 | -24.9 | -5.376 | 0.00 |